# 1
Below is a relaxed RbAgS crystal, with properties calculated at the GGA-PBE level.

Properties
- electronic total energy (eV per atom) = -2.94
- formation energy (no corrections) (eV per atom) = -0.29

Cell: 3.821 3.821 11.545 Å, 90.00 90.00 90.00°
Space group I4mm (No. 107)
Symmetry-distinct sites (fractional):
Rb1 0.000 0.000 0.000
Ag1 0.000 0.000 0.265
S1 0.000 0.000 0.723

---

# 2
Below is a relaxed CsNp2Te4 crystal, with properties calculated at the GGA-PBE level.

Properties
- electronic total energy (eV per atom) = -6.35
- formation energy (no corrections) (eV per atom) = -0.74

Cell: 4.528 15.098 15.667 Å, 90.00 90.00 90.00°
Space group Cmcm (No. 63)
Symmetry-distinct sites (fractional):
Cs1 0.000 0.101 0.250
Np1 0.000 0.365 0.062
Te1 0.000 0.000 0.000
Te2 0.000 0.262 0.607
Te3 0.000 0.403 0.250

---

# 3
Below is a relaxed YMgZr2 crystal, with properties calculated at the GGA-PBE level.

Properties
- electronic total energy (eV per atom) = -6.22
- E_form (eV per atom) = 0.071

Cell: 12.249 3.434 5.191 Å, 90.00 114.90 90.00°
Space group C2/m (No. 12)
Symmetry-distinct sites (fractional):
Y1 0.000 0.000 0.000
Mg1 0.000 0.500 0.500
Zr1 0.228 0.000 0.729

---

# 4
Below is a relaxed Pr7AlS5 crystal, with properties calculated at the GGA-PBE level.

Properties
- electronic total energy (eV per atom) = -6.05
- formation energy (no corrections) (eV per atom) = -1.60

Cell: 4.094 7.135 24.617 Å, 89.98 90.00 73.39°
Space group P-1 (No. 2)
Symmetry-distinct sites (fractional):
Pr1 0.025 0.451 0.250
Pr2 0.136 0.228 0.964
Pr3 0.137 0.227 0.536
Pr4 0.319 0.861 0.174
Pr5 0.319 0.862 0.326
Pr6 0.409 0.681 0.609
Pr7 0.409 0.683 0.891
Al1 0.304 0.892 0.750
S1 0.046 0.408 0.641
S2 0.046 0.408 0.859
S3 0.226 0.048 0.071
S4 0.227 0.047 0.429
S5 0.500 0.500 0.000
S6 0.500 0.500 0.500

---

# 5
Below is a relaxed PrYNi2 crystal, with properties calculated at the GGA-PBE level.

Properties
- electronic total energy (eV per atom) = -5.97
- E_form (eV per atom) = -0.265
- distance to the lowest polymorph of the same formula (meV per atom) = 91

Cell: 6.919 6.919 6.919 Å, 90.00 90.00 90.00°
Space group Fm-3m (No. 225)
Symmetry-distinct sites (fractional):
Pr1 0.000 0.000 0.000
Y1 0.000 0.000 0.500
Ni1 0.250 0.250 0.250

---

# 6
Below is a relaxed Dy3Th2In4 crystal, with properties calculated at the GGA-PBE level.

Properties
- electronic total energy (eV per atom) = -4.62
- E_form (eV per atom) = -0.216

Cell: 6.901 17.211 8.908 Å, 90.00 90.00 90.00°
Space group Cmce (No. 64)
Symmetry-distinct sites (fractional):
Dy1 0.000 0.000 0.000
Dy2 0.250 0.220 0.250
Th1 0.000 0.107 0.585
In1 0.000 0.177 0.953
In2 0.250 0.043 0.250

---

# 7
Below is a relaxed NaLiMg crystal, with properties calculated at the GGA-PBE level.

Properties
- electronic total energy (eV per atom) = -1.55
- E_form (eV per atom) = 0.058
- distance to the lowest polymorph of the same formula (meV per atom) = 24

Cell: 4.223 4.823 15.024 Å, 90.00 90.00 90.00°
Space group Cmmm (No. 65)
Symmetry-distinct sites (fractional):
Na1 0.000 0.000 0.177
Li1 0.000 0.000 0.500
Li2 0.000 0.500 0.000
Mg1 0.000 0.500 0.360

---

# 8
Below is a relaxed FeNi crystal, with properties calculated at the GGA-PBE level.

Properties
- electronic total energy (eV per atom) = -7.10
- E_form (eV per atom) = 0.025

Cell: 5.674 5.674 5.674 Å, 90.00 90.00 90.00°
Space group Fd-3m (No. 227, origin choice 2)
Symmetry-distinct sites (fractional):
Fe1 0.125 0.125 0.125
Ni1 0.125 0.125 0.625

---

# 9
Below is a relaxed Ca3LaSe crystal, with properties calculated at the GGA-PBE level.

Properties
- electronic total energy (eV per atom) = -3.35
- formation energy (no corrections) (eV per atom) = -0.47
- distance to the lowest polymorph of the same formula (meV per atom) = 0

Cell: 5.746 5.746 5.746 Å, 90.00 90.00 90.00°
Space group Pm-3m (No. 221)
Symmetry-distinct sites (fractional):
Ca1 0.000 0.000 0.500
La1 0.500 0.500 0.500
Se1 0.000 0.000 0.000

---

# 10
Below is a relaxed YHfAl2 crystal, with properties calculated at the GGA-PBE level.

Properties
- electronic total energy (eV per atom) = -5.83
- E_form (eV per atom) = 0.145
- distance to the lowest polymorph of the same formula (meV per atom) = 445

Cell: 7.860 7.860 5.928 Å, 90.00 90.00 90.00°
Space group I-42d (No. 122)
Symmetry-distinct sites (fractional):
Y1 0.000 0.000 0.000
Hf1 0.000 0.000 0.500
Al1 0.233 0.250 0.625

---

# 11
Below is a relaxed TlHgPb3 crystal, with properties calculated at the GGA-PBE level.

Properties
- electronic total energy (eV per atom) = -2.69
- E_form (eV per atom) = 0.072
- distance to the lowest polymorph of the same formula (meV per atom) = 68

Cell: 6.627 9.767 9.670 Å, 90.00 90.00 90.00°
Space group Pnma (No. 62)
Symmetry-distinct sites (fractional):
Tl1 0.000 0.000 0.000
Hg1 0.231 0.250 0.464
Pb1 0.044 0.568 0.335
Pb2 0.231 0.750 0.642

---

# 12
Below is a relaxed AcTbSmTh crystal, with properties calculated at the GGA-PBE level.

Properties
- electronic total energy (eV per atom) = -5.05
- E_form (eV per atom) = 0.167
- distance to the lowest polymorph of the same formula (meV per atom) = 124

Cell: 8.269 8.269 8.269 Å, 90.00 90.00 90.00°
Space group F-43m (No. 216)
Symmetry-distinct sites (fractional):
Ac1 0.000 0.000 0.000
Tb1 0.250 0.250 0.250
Sm1 0.250 0.250 0.750
Th1 0.000 0.000 0.500

---

# 13
Below is a relaxed HfNiSbI2 crystal, with properties calculated at the GGA-PBE level.

Properties
- electronic total energy (eV per atom) = -4.02
- formation energy (no corrections) (eV per atom) = 0.57
- distance to the lowest polymorph of the same formula (meV per atom) = 0

Cell: 5.030 5.030 5.222 Å, 90.00 90.00 90.00°
Space group P4/mmm (No. 123)
Symmetry-distinct sites (fractional):
Hf1 0.000 0.000 0.000
Ni1 0.500 0.500 0.500
Sb1 0.500 0.500 0.000
I1 0.000 0.500 0.500

---

# 14
Below is a relaxed CsPuAu2 crystal, with properties calculated at the GGA-PBE level.

Properties
- electronic total energy (eV per atom) = -5.72
- E_form (eV per atom) = -0.289
- distance to the lowest polymorph of the same formula (meV per atom) = 0

Cell: 3.856 3.856 8.449 Å, 90.00 90.00 90.00°
Space group P4/mmm (No. 123)
Symmetry-distinct sites (fractional):
Cs1 0.000 0.000 0.000
Pu1 0.000 0.000 0.500
Au1 0.500 0.500 0.319

---

# 15
Below is a relaxed Rb2TlZn3Sb4 crystal, with properties calculated at the GGA-PBE level.

Properties
- electronic total energy (eV per atom) = -2.64
- formation energy (no corrections) (eV per atom) = -0.18

Cell: 5.143 5.143 11.165 Å, 90.00 90.00 90.00°
Space group P-4m2 (No. 115)
Symmetry-distinct sites (fractional):
Rb1 0.000 0.500 0.247
Tl1 0.000 0.000 0.500
Zn1 0.000 0.500 0.884
Zn2 0.500 0.500 0.500
Sb1 0.000 0.000 0.000
Sb2 0.000 0.500 0.637
Sb3 0.500 0.500 0.000

---

# 16
Below is a relaxed PrPd3Pb2 crystal, with properties calculated at the GGA-PBE level.

Properties
- electronic total energy (eV per atom) = -4.96
- E_form (eV per atom) = -0.334

Cell: 6.475 7.125 23.710 Å, 90.00 90.00 90.00°
Space group Fmmm (No. 69)
Symmetry-distinct sites (fractional):
Pr1 0.000 0.000 0.144
Pd1 0.000 0.000 0.321
Pd2 0.000 0.195 0.427
Pb1 0.226 0.000 0.000
Pb2 0.250 0.250 0.250

---

# 17
Below is a relaxed Sr4PW crystal, with properties calculated at the GGA-PBE level.

Properties
- electronic total energy (eV per atom) = -2.88
- E_form (eV per atom) = 1.303

Cell: 9.379 9.379 9.379 Å, 90.00 90.00 90.00°
Space group F-43m (No. 216)
Symmetry-distinct sites (fractional):
Sr1 0.125 0.125 0.125
P1 0.000 0.000 0.500
W1 0.250 0.250 0.750

---

# 18
Below is a relaxed LaTb3Sm2As6 crystal, with properties calculated at the GGA-PBE level.

Properties
- electronic total energy (eV per atom) = -6.22
- E_form (eV per atom) = -1.536

Cell: 7.284 12.615 7.281 Å, 90.00 109.46 90.00°
Space group C2/m (No. 12)
Symmetry-distinct sites (fractional):
La1 0.000 0.000 0.000
Tb1 0.000 0.166 0.500
Tb2 0.000 0.500 0.500
Sm1 0.000 0.333 0.000
As1 0.246 0.331 0.743
As2 0.248 0.500 0.257

---

# 19
Below is a relaxed K2TcBr5Cl crystal, with properties calculated at the GGA-PBE level.

Properties
- electronic total energy (eV per atom) = -3.61
- formation energy (no corrections) (eV per atom) = -1.08

Cell: 7.486 7.486 10.397 Å, 90.00 90.00 90.00°
Space group I4mm (No. 107)
Symmetry-distinct sites (fractional):
K1 0.000 0.500 0.000
Tc1 0.000 0.000 0.249
Br1 0.000 0.000 0.492
Br2 0.240 0.240 0.250
Cl1 0.000 0.000 0.021

---

# 20
Below is a relaxed TaFeAu4 crystal, with properties calculated at the GGA-PBE level.

Properties
- electronic total energy (eV per atom) = -5.06
- E_form (eV per atom) = 0.506

Cell: 7.604 7.604 7.604 Å, 90.00 90.00 90.00°
Space group F-43m (No. 216)
Symmetry-distinct sites (fractional):
Ta1 0.000 0.000 0.000
Fe1 0.250 0.250 0.250
Au1 0.125 0.125 0.625